1.
LiCuP2 after structural relaxation, computed with PBE.

Cell: 2.691 2.691 7.497 Å, 90.00 90.00 90.00°
Fractional positions:
Li1 0.000 0.000 0.000
Cu1 0.000 0.000 0.500
P1 0.500 0.500 0.255
P2 0.500 0.500 0.745

Calculated values
- Offset from the most stable computed form: 0.1739 eV per atom
- ΔE_f: 0.04 eV/f.u.

---

2.
CaTa2P after structural relaxation, computed with PBE.

Cell: 6.545 6.545 6.545 Å, 90.00 90.00 90.00°
Fractional positions:
Ca1 0.000 0.000 0.000
Ca2 0.000 0.500 0.500
Ca3 0.500 0.000 0.500
Ca4 0.500 0.500 0.000
Ta1 0.250 0.250 0.250
Ta2 0.250 0.250 0.750
Ta3 0.250 0.750 0.250
Ta4 0.250 0.750 0.750
Ta5 0.750 0.250 0.250
Ta6 0.750 0.250 0.750
Ta7 0.750 0.750 0.250
Ta8 0.750 0.750 0.750
P1 0.000 0.000 0.500
P2 0.000 0.500 0.000
P3 0.500 0.000 0.000
P4 0.500 0.500 0.500

Calculated values
- Offset from the most stable computed form: 0.9975 eV per atom
- ΔE_f: 3.39 eV/f.u.

---

3.
HgC3 after structural relaxation, computed with PBE.

Cell: 2.547 6.664 7.795 Å, 90.00 90.00 90.00°
Fractional positions:
Hg1 0.000 0.000 0.000
Hg2 0.500 0.500 0.000
C1 0.000 0.000 0.500
C2 0.000 0.500 0.396
C3 0.000 0.500 0.604
C4 0.500 0.000 0.396
C5 0.500 0.000 0.604
C6 0.500 0.500 0.500

Calculated values
- Offset from the most stable computed form: 1.2457 eV per atom
- ΔE_f: 7.94 eV/f.u.

---

4.
UTiSn2 after structural relaxation, computed with PBE.

Cell: 4.504 4.504 4.479 Å, 90.00 90.00 90.00°
Fractional positions:
U1 0.000 0.000 0.000
Ti1 0.500 0.500 0.000
Sn1 0.000 0.500 0.500
Sn2 0.500 0.000 0.500

Calculated values
- Offset from the most stable computed form: 0.0000 eV per atom
- ΔE_f: -0.06 eV/f.u.

---

5.
CaPr8Nd6 after structural relaxation, computed with PBE.

Cell: 8.486 8.486 8.486 Å, 72.27 72.27 72.27°
Fractional positions:
Ca1 0.000 0.000 0.000
Pr1 0.054 0.859 0.383
Pr2 0.141 0.617 0.946
Pr3 0.232 0.232 0.232
Pr4 0.383 0.054 0.859
Pr5 0.617 0.946 0.141
Pr6 0.768 0.768 0.768
Pr7 0.859 0.383 0.054
Pr8 0.946 0.141 0.617
Nd1 0.170 0.429 0.620
Nd2 0.380 0.830 0.571
Nd3 0.429 0.620 0.170
Nd4 0.571 0.380 0.830
Nd5 0.620 0.170 0.429
Nd6 0.830 0.571 0.380

Calculated values
- ΔE_f: 2.09 eV/f.u.

---

6.
ReP3 after structural relaxation, computed with PBE.

Cell: 3.829 3.829 3.829 Å, 90.00 90.00 90.00°
Fractional positions:
Re1 0.000 0.000 0.000
P1 0.000 0.500 0.500
P2 0.500 0.000 0.500
P3 0.500 0.500 0.000

Calculated values
- Offset from the most stable computed form: 1.1936 eV per atom
- ΔE_f: 3.43 eV/f.u.

---

7.
CaPb3Se after structural relaxation, computed with PBE.

Cell: 5.895 5.895 5.895 Å, 90.00 90.00 90.00°
Fractional positions:
Ca1 0.000 0.000 0.000
Pb1 0.000 0.000 0.500
Pb2 0.000 0.500 0.000
Pb3 0.500 0.000 0.000
Se1 0.500 0.500 0.500

Calculated values
- Offset from the most stable computed form: 0.6651 eV per atom

---

8.
PrTm5Th2 after structural relaxation, computed with PBE.

Cell: 13.650 11.105 3.508 Å, 90.00 104.76 90.00°
Fractional positions:
Pr1 0.000 0.000 0.000
Pr2 0.500 0.500 0.000
Tm1 0.000 0.500 0.000
Tm2 0.132 0.273 0.631
Tm3 0.132 0.727 0.631
Tm4 0.368 0.227 0.369
Tm5 0.368 0.773 0.369
Tm6 0.500 0.000 0.000
Tm7 0.632 0.227 0.631
Tm8 0.632 0.773 0.631
Tm9 0.868 0.273 0.369
Tm10 0.868 0.727 0.369
Th1 0.240 0.000 0.740
Th2 0.260 0.500 0.260
Th3 0.740 0.500 0.740
Th4 0.760 0.000 0.260

Calculated values
- ΔE_f: 0.77 eV/f.u.

---

9.
CaPuNiRu after structural relaxation, computed with PBE.

Cell: 6.746 6.746 6.746 Å, 90.00 90.00 90.00°
Fractional positions:
Ca1 0.000 0.000 0.000
Ca2 0.000 0.500 0.500
Ca3 0.500 0.000 0.500
Ca4 0.500 0.500 0.000
Pu1 0.000 0.000 0.500
Pu2 0.000 0.500 0.000
Pu3 0.500 0.000 0.000
Pu4 0.500 0.500 0.500
Ni1 0.250 0.250 0.250
Ni2 0.250 0.750 0.750
Ni3 0.750 0.250 0.750
Ni4 0.750 0.750 0.250
Ru1 0.250 0.250 0.750
Ru2 0.250 0.750 0.250
Ru3 0.750 0.250 0.250
Ru4 0.750 0.750 0.750

Calculated values
- ΔE_f: 0.25 eV/f.u.

---

10.
LiFe3Br after structural relaxation, computed with PBE.

Cell: 4.401 4.401 4.401 Å, 90.00 90.00 90.00°
Fractional positions:
Li1 0.000 0.000 0.000
Fe1 0.000 0.500 0.500
Fe2 0.500 0.000 0.500
Fe3 0.500 0.500 0.000
Br1 0.500 0.500 0.500

Calculated values
- Offset from the most stable computed form: 0.0000 eV per atom

---

11.
SeS after structural relaxation, computed with PBE.

Cell: 3.249 3.985 5.001 Å, 93.75 108.86 90.05°
Fractional positions:
Se1 0.000 0.000 0.000
S1 0.865 0.564 0.729

Calculated values
- Offset from the most stable computed form: 0.1998 eV per atom

---

What did we get for total energy? Answer: -4.198 -6.932 -5.007 -6.811 -4.450 -6.311 -2.644 -5.150 -7.786 -4.784 -3.562 eV/atom, in the order shown.